! SrZrCd2Se (PBE-GGA, optimized geometry); values from VASP
&SYSTEM
  ibrav = 0, nat = 5, ntyp = 4
/
ATOMIC_SPECIES
Sr 87.62 Sr.upf
Zr 91.22 Zr.upf
Cd 112.41 Cd.upf
Se 78.96 Se.upf
ATOMIC_POSITIONS crystal
Sr 0.000 0.000 0.000
Zr 0.000 0.000 0.500
Cd 0.000 0.500 0.000
Cd 0.500 0.000 0.000
Se 0.500 0.500 0.500
CELL_PARAMETERS angstrom
5.824 0.000 0.000
0.000 5.824 0.000
0.000 0.000 6.152
! - space-group type = P4/mmm
! - energy relative to the elements, uncorrected (eV/atom) = 1.25
! - energy (eV/cell) = -9.29